Material: YZn2Sn2
Method: DFT, GGA-PBE
State: optimized geometry

a = 7.8800 Å, b = 7.8800 Å, c = 3.5925 Å
α = 90.00°, β = 90.00°, γ = 90.00°
Atoms (fractional coordinates):
Zn (0.3828, 0.8828, 0.0000)
Sn (0.3216, 0.1784, 0.5000)
Zn (0.6172, 0.1172, 0.0000)
Sn (0.8216, 0.3216, 0.5000)
Y (0.5000, 0.5000, 0.0000)
Y (0.0000, 0.0000, 0.0000)
Zn (0.1172, 0.3828, 0.0000)
Zn (0.8828, 0.6172, 0.0000)
Sn (0.6784, 0.8216, 0.5000)
Sn (0.1784, 0.6784, 0.5000)

* N(E_F): 2.44 states/eV/f.u.
* energy: -3.646 eV per atom
* total magnetization: 0.00 μB/atom
* E above lowest polymorph: 0.1165 eV/atom
* space group: P4/mbm (127)
* formation energy: -1.21 eV per formula unit

Material: Y3Zn4Sn2
Method: DFT, GGA-PBE
State: optimized geometry

a = 4.5279 Å, b = 5.9340 Å, c = 8.6310 Å
α = 109.41°, β = 90.00°, γ = 112.43°
Atoms (fractional coordinates):
Zn (0.2519, 0.5037, 0.9344)
Zn (0.0194, 0.0389, 0.3652)
Zn (0.9806, 0.9611, 0.6348)
Y (0.0000, 0.0000, 0.0000)
Sn (0.3855, 0.7710, 0.7222)
Zn (0.7481, 0.4963, 0.0656)
Y (0.6686, 0.3372, 0.6675)
Y (0.3314, 0.6628, 0.3325)
Sn (0.6145, 0.2290, 0.2778)

* N(E_F): 4.64 states/eV/f.u.
* energy: -4.143 eV per atom
* total magnetization: 0.00 μB/atom
* space group: C2/m (12)
* formation energy: -4.79 eV per formula unit

Material: YZn3Sn
Method: DFT, GGA-PBE
State: optimized geometry

a = 5.4155 Å, b = 5.4155 Å, c = 5.4155 Å
α = 90.00°, β = 90.00°, γ = 90.00°
Atoms (fractional coordinates):
Zn (0.5000, 0.0000, 0.0000)
Zn (0.0000, 0.5000, 0.0000)
Sn (0.5000, 0.5000, 0.5000)
Zn (0.0000, 0.0000, 0.5000)
Y (0.0000, 0.0000, 0.0000)

* N(E_F): 4.49 states/eV/f.u.
* energy: -2.040 eV per atom
* total magnetization: 0.00 μB/atom
* E above lowest polymorph: 0.4177 eV/atom
* space group: Pm-3m (221)
* formation energy: 4.09 eV per formula unit

Material: Y2ZnSn2
Method: DFT, GGA-PBE
State: optimized geometry

a = 4.6143 Å, b = 6.9230 Å, c = 8.5860 Å
α = 90.00°, β = 105.59°, γ = 90.00°
Atoms (fractional coordinates):
Y (0.7971, 0.4423, 0.5941)
Sn (0.1724, 0.4570, 0.3447)
Zn (0.4053, 0.0503, 0.8106)
Y (0.0096, 0.2248, 0.0192)
Y (0.2029, 0.9423, 0.4059)
Y (0.9904, 0.7248, 0.9808)
Zn (0.5947, 0.5503, 0.1894)
Sn (0.8276, 0.9570, 0.6553)
Sn (0.5737, 0.9600, 0.1474)
Sn (0.4263, 0.4600, 0.8526)

* N(E_F): 0.79 states/eV/f.u.
* energy: -5.023 eV per atom
* total magnetization: 0.00 μB/atom
* space group: Cmc2_1 (36)
* formation energy: -2.91 eV per formula unit

Material: YZn2Sn2
Method: DFT, GGA-PBE
State: optimized geometry

a = 8.1263 Å, b = 8.1263 Å, c = 3.4813 Å
α = 90.00°, β = 90.00°, γ = 90.00°
Atoms (fractional coordinates):
Y (0.0000, 0.0000, 0.0000)
Sn (0.1389, 0.3611, 0.0000)
Zn (0.3403, 0.1597, 0.5000)
Zn (0.8403, 0.3403, 0.5000)
Y (0.5000, 0.5000, 0.0000)
Zn (0.1597, 0.6597, 0.5000)
Sn (0.8611, 0.6389, 0.0000)
Sn (0.3611, 0.8611, 0.0000)
Zn (0.6597, 0.8403, 0.5000)
Sn (0.6389, 0.1389, 0.0000)

* N(E_F): 2.47 states/eV/f.u.
* energy: -3.518 eV per atom
* total magnetization: 0.00 μB/atom
* E above lowest polymorph: 0.2448 eV/atom
* space group: P4/mbm (127)
* formation energy: -0.57 eV per formula unit

Material: YZrSn2
Method: DFT, GGA-PBE
State: optimized geometry

a = 8.1247 Å, b = 8.1247 Å, c = 6.5885 Å
α = 51.93°, β = 51.93°, γ = 90.00°
Atoms (fractional coordinates):
Sn (0.6380, 0.1250, 0.2500)
Zr (0.7500, 0.2500, 0.5000)
Zr (0.0000, 0.0000, 0.0000)
Sn (0.3750, 0.3620, 0.7500)
Y (0.2500, 0.7500, 0.5000)
Sn (0.1120, 0.6250, 0.2500)
Sn (0.8750, 0.8880, 0.7500)
Y (0.5000, 0.5000, 0.0000)

* N(E_F): 3.32 states/eV/f.u.
* energy: -6.081 eV per atom
* total magnetization: 0.00 μB/atom
* E above lowest polymorph: 0.1524 eV/atom
* space group: I-42d (122)
* formation energy: -1.31 eV per formula unit

Material: YZrSn2
Method: DFT, GGA-PBE
State: optimized geometry

a = 5.2061 Å, b = 5.2061 Å, c = 5.2061 Å
α = 60.00°, β = 60.00°, γ = 60.00°
Each line ends with the local moment (μB).
Atoms (fractional coordinates):
Y (0.0000, 0.0000, 0.0000)  0.19
Zr (0.5000, 0.5000, 0.5000)  0.77
Sn (0.7500, 0.7500, 0.7500)  0.05
Sn (0.2500, 0.2500, 0.2500)  0.05

* N(E_F): 3.96 states/eV/f.u.
* energy: -6.123 eV per atom
* total magnetization: 0.44 μB/atom
* E above lowest polymorph: 0.1100 eV/atom
* space group: Fm-3m (225)
* formation energy: -1.48 eV per formula unit

Material: Y2ZrSn
Method: DFT, GGA-PBE
State: optimized geometry

a = 4.6686 Å, b = 4.7105 Å, c = 4.7105 Å
α = 90.00°, β = 90.00°, γ = 90.00°
Atoms (fractional coordinates):
Zr (0.5000, 0.5000, 0.5000)
Sn (0.5000, 0.0000, 0.0000)
Y (0.0000, 0.0000, 0.5000)
Y (0.0000, 0.5000, 0.0000)

* N(E_F): 5.90 states/eV/f.u.
* energy: -6.696 eV per atom
* total magnetization: 0.00 μB/atom
* space group: P4/mmm (123)
* formation energy: -1.31 eV per formula unit

Material: Y2ZrSn
Method: DFT, GGA-PBE
State: optimized geometry

a = 3.4259 Å, b = 3.4259 Å, c = 11.7241 Å
α = 81.60°, β = 81.60°, γ = 60.00°
Atoms (fractional coordinates):
Y (0.9095, 0.9095, 0.2715)
Zr (0.5000, 0.5000, 0.5000)
Y (0.0905, 0.0905, 0.7285)
Sn (0.0000, 0.0000, 0.0000)

* N(E_F): 5.26 states/eV/f.u.
* energy: -6.274 eV per atom
* total magnetization: 0.00 μB/atom
* space group: R-3m (166)
* formation energy: 0.38 eV per formula unit

Material: Y2ZrSn2
Method: DFT, GGA-PBE
State: optimized geometry

a = 7.8444 Å, b = 7.8444 Å, c = 4.3383 Å
α = 90.00°, β = 90.00°, γ = 90.00°
Atoms (fractional coordinates):
Sn (0.3625, 0.8625, 0.0000)
Y (0.3308, 0.1692, 0.5000)
Y (0.1692, 0.6692, 0.5000)
Y (0.6692, 0.8308, 0.5000)
Sn (0.6375, 0.1375, 0.0000)
Sn (0.1375, 0.3625, 0.0000)
Y (0.8308, 0.3308, 0.5000)
Sn (0.8625, 0.6375, 0.0000)
Zr (0.5000, 0.5000, 0.0000)
Zr (0.0000, 0.0000, 0.0000)

* N(E_F): 5.35 states/eV/f.u.
* energy: -6.505 eV per atom
* total magnetization: 0.00 μB/atom
* E above lowest polymorph: 0.0000 eV/atom
* space group: P4/mbm (127)
* formation energy: -3.05 eV per formula unit

Material: Y2ZrSn
Method: DFT, GGA-PBE
State: optimized geometry

a = 8.5335 Å, b = 8.5335 Å, c = 6.7867 Å
α = 51.05°, β = 51.05°, γ = 90.00°
Atoms (fractional coordinates):
Y (0.1094, 0.6250, 0.2500)
Zr (0.5000, 0.5000, 0.0000)
Sn (0.0000, 0.0000, 0.0000)
Y (0.3750, 0.3594, 0.7500)
Zr (0.2500, 0.7500, 0.5000)
Y (0.8750, 0.8906, 0.7500)
Y (0.6406, 0.1250, 0.2500)
Sn (0.7500, 0.2500, 0.5000)

* N(E_F): 5.26 states/eV/f.u.
* energy: -6.242 eV per atom
* total magnetization: 0.00 μB/atom
* space group: I-42d (122)
* formation energy: 0.51 eV per formula unit

Material: YZr3Sn
Method: DFT, GGA-PBE
State: optimized geometry

a = 5.1931 Å, b = 5.1931 Å, c = 5.1931 Å
α = 90.00°, β = 90.00°, γ = 90.00°
Each line ends with the local moment (μB).
Atoms (fractional coordinates):
Zr (0.0000, 0.0000, 0.5000)  0.17
Zr (0.0000, 0.5000, 0.0000)  0.27
Y (0.0000, 0.0000, 0.0000)  0.05
Zr (0.5000, 0.0000, 0.0000)  0.31
Sn (0.5000, 0.5000, 0.5000)  -0.02

* N(E_F): 7.16 states/eV/f.u.
* energy: -6.008 eV per atom
* total magnetization: 0.25 μB/atom
* E above lowest polymorph: 0.6009 eV/atom
* space group: Pm-3m (221)
* formation energy: 6.07 eV per formula unit

- The lowest N(E_F) belongs to which entry?
  Y2ZnSn2

- N(E_F) of number 9 (Y2ZrSn)?
  5.26 states/eV/f.u.